1.
La2HoThN4 (PBE, optimized geometry); energy relative to the elements, uncorrected = -1.51 eV/atom; raw total energy = -8.403 eV per atom; density = 8799 kg/m³
1.0
6.285 0.000 0.000
0.000 3.653 0.000
-2.091 0.000 6.007
La Ho Th N
2 1 1 4
Cartesian
0.000 0.000 0.000
3.143 1.827 0.000
-1.045 1.827 3.003
2.097 0.000 3.003
0.004 0.000 4.393
1.038 1.827 1.630
3.157 1.827 4.376
4.190 0.000 1.613

***

2.
La4HoTh3N8 (PBE, optimized geometry); energy relative to the elements, uncorrected = -1.51 eV/atom; raw total energy = -8.586 eV per atom; density = 9012 kg/m³
1.0
3.670 2.119 6.036
-3.670 2.119 6.036
0.000 -4.238 6.036
La Ho Th N
4 1 3 8
Cartesian
0.000 0.000 0.000
-1.835 -1.060 6.036
-1.835 1.059 12.073
0.000 2.119 6.036
0.000 0.000 9.054
-3.670 0.000 9.054
-1.835 1.059 3.018
1.835 1.060 3.018
0.000 0.000 4.394
-1.831 -1.057 10.433
0.000 -2.115 7.675
-1.831 1.057 7.675
1.831 -1.057 10.433
0.000 2.115 10.433
1.831 1.057 7.675
0.000 0.000 13.715

***

3.
LaHoThN3 (PBE, optimized geometry); energy relative to the elements, uncorrected = -1.29 eV/atom; raw total energy = -8.273 eV per atom; density = 8000 kg/m³
1.0
6.595 0.000 0.000
0.000 3.464 0.000
-0.259 0.000 10.502
La Ho Th N
2 2 2 6
Cartesian
1.122 0.866 2.748
5.214 2.598 7.754
1.001 0.866 9.807
5.335 2.598 0.695
1.951 2.598 6.377
4.385 0.866 4.125
0.675 0.866 7.455
1.043 2.598 0.739
2.600 2.598 4.068
3.736 0.866 6.434
5.293 0.866 9.763
5.661 2.598 3.047

***

4.
LaHoTiN3 (PBE, optimized geometry); energy relative to the elements, uncorrected = -1.35 eV/atom; raw total energy = -8.409 eV per atom; density = 6497 kg/m³
1.0
7.327 0.000 0.000
0.000 3.577 0.000
-1.344 0.000 7.679
La Ho Ti N
2 2 2 6
Cartesian
1.067 0.894 1.378
4.916 2.683 6.301
1.522 2.683 6.501
4.461 0.894 1.179
-0.049 0.894 4.600
6.031 2.683 3.079
-0.282 0.894 6.518
0.545 2.683 4.001
2.816 2.683 1.075
3.166 0.894 6.604
5.438 0.894 3.678
6.264 2.683 1.161

***

5.
LaHo2TlN (PBE, optimized geometry); energy relative to the elements, uncorrected = -0.87 eV/atom; raw total energy = -5.825 eV per atom; density = 9562 kg/m³
1.0
4.851 0.000 0.000
0.000 4.851 0.000
0.000 0.000 5.072
La Ho Tl N
1 2 1 1
Cartesian
0.000 0.000 0.000
0.000 2.425 2.536
2.425 0.000 2.536
2.425 2.425 0.000
0.000 0.000 2.536

***

6.
La3Ho2UN6 (PBE, optimized geometry); energy relative to the elements, uncorrected = -1.52 eV/atom; raw total energy = -8.614 eV per atom; density = 9170 kg/m³
1.0
3.062 -5.293 0.000
3.062 5.293 0.000
-2.036 0.000 5.970
La Ho U N
3 2 1 6
Cartesian
0.000 0.000 0.000
3.062 1.790 0.000
3.062 -1.790 0.000
2.044 3.533 2.985
2.044 -3.533 2.985
2.044 0.000 2.985
1.095 1.639 1.719
0.142 0.000 4.275
1.095 -1.639 1.719
2.993 1.639 4.252
3.945 0.000 1.695
2.993 -1.639 4.252